Record 1
Density functional theory data (PBE+U) for a relaxed RbFeO3 crystal.

Unit cell a=4.250 b=4.250 c=4.250 alpha=90.00 beta=90.00 gamma=90.00
Space group Pm-3m (No. 221)
Inequivalent atoms, fractional coordinates:
1 Rb 0.000 0.000 0.000 x1
2 Fe 0.500 0.500 0.500 x1
3 O 0.000 0.000 0.500 x3

Values from the calculation:
Density: 4.1 Mg/m³
Volume: 77 Å³ per cell
Density of states at the Fermi level: 2.537 states/eV per atom
VASP energy: -0.219 Ry/atom


Record 2
Density functional theory data (PBE+U) for a relaxed Rb3FeO crystal.

Unit cell a=5.734 b=5.734 c=5.734 alpha=90.00 beta=90.00 gamma=90.00
Space group Pm-3m (No. 221)
Inequivalent atoms, fractional coordinates:
1 Rb 0.000 0.000 0.500 x3
2 Fe 0.500 0.500 0.500 x1
3 O 0.000 0.000 0.000 x1

Values from the calculation:
Polymorph energy (0 for the lowest one): 0 meV per atom
Density: 2.9 Mg/m³
Volume: 189 Å³ per cell
Density of states at the Fermi level: 3.438 states/eV per atom